No. 1
Nb2CdW | GGA-PBE | optimized geometry

The structure in extended XYZ format:
```
8
Lattice="7.4922 0.0000 0.0000 0.0000 7.4922 0.0000 3.7461 3.7461 2.8308" Properties=species:S:1:pos:R:3 pbc="T T T"
Cd 3.7461 3.7461 0.0000
Cd 3.7461 7.4922 1.4154
W 0.0000 0.0000 0.0000
W 7.4922 3.7461 1.4154
Nb 9.3653 9.5768 2.1231
Nb 5.8307 1.8731 0.7077
Nb 1.6615 5.6192 0.7077
Nb 5.6192 5.4076 2.1231
```

Calculated values
The theoretical density is 10.08 Mg/m³. The formation energy is 3.29 eV/f.u. For the total moment, the calculation gives 0.00 μB/atom. The symmetry is No. 122. Its total energy is -7.679 eV per atom.

---

No. 2
Np2Co3P4Ru | GGA-PBE | optimized geometry

The structure in extended XYZ format:
```
10
Lattice="-3.1237 -2.4376 0.0319 2.1463 -2.7745 -1.8427 2.6587 -3.3015 8.0677" Properties=species:S:1:pos:R:3 pbc="T T T"
Co 0.8024 -4.1547 7.1903
Co 1.3676 -1.7529 -0.0280
Co 1.3293 -1.6507 4.0338
P 0.1462 -3.3398 5.1990
P -0.4887 -2.6061 -0.9054
P 0.0000 0.0000 0.0000
P 2.0238 -2.5677 1.9633
Np -0.9247 -2.0100 1.9493
Np 3.0947 -3.8976 5.2130
Ru 0.8406 -4.2568 3.1284
```

Calculated values
The theoretical density is 10.16 Mg/m³. The formation energy is -7.52 eV/f.u. For the total moment, the calculation gives 0.66 μB/atom. The symmetry is No. 115. Its total energy is -8.563 eV per atom.

---

No. 3
Ho6HgAs2S3 | GGA-PBE | optimized geometry

The structure in extended XYZ format:
```
12
Lattice="3.9894 0.0000 0.0000 0.0000 8.1357 0.2483 -1.9947 -2.3910 8.4766" Properties=species:S:1:pos:R:3 pbc="T T T"
S 1.9947 4.0678 0.1241
S 0.0000 5.9538 3.0722
S 1.9947 -0.2091 5.6527
Ho 0.0000 5.9477 0.2303
Ho 1.9947 -0.1357 2.9315
Ho 1.9947 3.9260 2.9950
Ho 1.9947 -0.2031 8.4945
Ho 0.0000 1.8186 5.7298
Ho 0.0000 5.8803 5.7934
As 1.9947 3.8376 5.8402
As 0.0000 1.9070 2.8846
Hg 1.9947 0.0000 0.0000
```

Calculated values
The theoretical density is 8.59 Mg/m³. For the total moment, the calculation gives 0.00 μB/atom. The symmetry is No. 12. Its total energy is -5.663 eV per atom.

---

No. 4
DyEr15In4 | GGA-PBE | optimized geometry

The structure in extended XYZ format:
```
20
Lattice="4.8159 0.0000 0.0000 0.0000 4.8159 0.0000 0.0000 0.0000 24.4472" Properties=species:S:1:pos:R:3 pbc="T T T"
Er 0.0000 2.4079 21.8889
Er 0.0000 2.4079 7.4119
Er 2.4079 2.4079 19.4386
Er 2.4079 2.4079 9.8224
Er 2.4079 0.0000 7.4119
Er 0.0000 2.4079 12.2236
Er 2.4079 0.0000 12.2236
Er 2.4079 2.4079 0.0000
Er 2.4079 0.0000 17.0353
Er 0.0000 2.4079 17.0353
Er 2.4079 0.0000 21.8889
Er 2.4079 0.0000 2.5583
Er 2.4079 2.4079 14.6248
Er 2.4079 2.4079 5.0085
Er 0.0000 2.4079 2.5583
In 0.0000 0.0000 9.8220
In 0.0000 0.0000 14.6252
In 0.0000 0.0000 5.0335
In 0.0000 0.0000 19.4137
Dy 0.0000 0.0000 0.0000
```

Calculated values
The theoretical density is 9.17 Mg/m³. The formation energy is -3.97 eV/f.u. For the total moment, the calculation gives 0.00 μB/atom. The symmetry is No. 123. Its total energy is -4.399 eV per atom.

---

Q: Among the records above, which one has the highest total moment?
A: Np2Co3P4Ru

---

Q: What is the total moment in the third record?
A: 0.00 μB/atom